1.
BaRhBr | GGA-PBE | relaxed

Lattice parameters (Å, degrees): 4.536 4.536 8.751 90.00 90.00 120.00
Sites, in units of the cell vectors:
1 Ba 0.000 0.000 0.000
2 Ba 0.000 0.000 0.500
3 Rh 0.333 0.667 0.250
4 Rh 0.667 0.333 0.750
5 Br 0.333 0.667 0.750
6 Br 0.667 0.333 0.250

## Properties
uncorrected formation energy	-59.6	kJ per mole of atoms
space-group type	P6_3/mmc
relative energy among the computed polymorphs	353	meV/atom
V	25.99	Å³ per atom
DFT total energy	-4.2665	eV per atom
magnetic moment	0.00	Bohr magnetons per cell

---

2.
Ba8Rh3Br4 | GGA-PBE | relaxed

Lattice parameters (Å, degrees): 10.186 10.186 10.186 53.96 53.96 53.96
Sites, in units of the cell vectors:
1 Ba 0.212 0.744 0.744
2 Ba 0.233 0.233 0.233
3 Ba 0.256 0.256 0.788
4 Ba 0.256 0.788 0.256
5 Ba 0.744 0.212 0.744
6 Ba 0.744 0.744 0.212
7 Ba 0.767 0.767 0.767
8 Ba 0.788 0.256 0.256
9 Rh 0.000 0.000 0.500
10 Rh 0.000 0.500 0.000
11 Rh 0.500 0.000 0.000
12 Br 0.000 0.000 0.000
13 Br 0.359 0.359 0.359
14 Br 0.500 0.500 0.500
15 Br 0.641 0.641 0.641

## Properties
uncorrected formation energy	-92.1	kJ per mole of atoms
space-group type	R-3m
V	42.80	Å³ per atom
DFT total energy	-3.8968	eV per atom
magnetic moment	0.04	Bohr magnetons per cell

---

3.
BaRh2Br | GGA-PBE | relaxed

Lattice parameters (Å, degrees): 3.569 3.569 7.948 90.00 90.00 90.00
Sites, in units of the cell vectors:
1 Ba 0.000 0.000 0.000
2 Rh 0.000 0.000 0.612
3 Rh 0.500 0.500 0.698
4 Br 0.500 0.500 0.252

## Properties
uncorrected formation energy	-15.6	kJ per mole of atoms
space-group type	P4mm
relative energy among the computed polymorphs	37	meV/atom
V	25.31	Å³ per atom
DFT total energy	-4.7365	eV per atom
magnetic moment	0.07	Bohr magnetons per cell

---

4.
Ba4RhBr2 | GGA-PBE | relaxed

Lattice parameters (Å, degrees): 9.286 9.286 9.286 141.45 141.45 55.66
Sites, in units of the cell vectors:
1 Ba 0.000 0.500 0.500
2 Ba 0.193 0.193 0.000
3 Ba 0.500 0.000 0.500
4 Ba 0.807 0.807 0.000
5 Rh 0.000 0.000 0.000
6 Br 0.392 0.392 0.000
7 Br 0.608 0.608 0.000

## Properties
uncorrected formation energy	-85.7	kJ per mole of atoms
space-group type	I4/mmm
relative energy among the computed polymorphs	124	meV/atom
V	44.09	Å³ per atom
DFT total energy	-3.5155	eV per atom
magnetic moment	0.90	Bohr magnetons per cell

---

5.
Ba7Rh2Br2 | GGA-PBE | relaxed

Lattice parameters (Å, degrees): 8.426 8.426 8.642 93.95 93.95 108.65
Sites, in units of the cell vectors:
1 Ba 0.000 0.000 0.000
2 Ba 0.061 0.459 0.766
3 Ba 0.423 0.423 0.211
4 Ba 0.459 0.061 0.766
5 Ba 0.541 0.939 0.234
6 Ba 0.577 0.577 0.789
7 Ba 0.939 0.541 0.234
8 Rh 0.276 0.276 0.879
9 Rh 0.724 0.724 0.121
10 Br 0.298 0.702 0.500
11 Br 0.702 0.298 0.500

## Properties
uncorrected formation energy	-51.8	kJ per mole of atoms
space-group type	C2/m
V	52.48	Å³ per atom
DFT total energy	-3.4017	eV per atom
magnetic moment	0.00	Bohr magnetons per cell

---

6.
Ba2RhBr | GGA-PBE | relaxed

Lattice parameters (Å, degrees): 5.596 5.596 5.596 60.00 60.00 60.00
Sites, in units of the cell vectors:
1 Ba 0.250 0.250 0.250
2 Ba 0.750 0.750 0.750
3 Rh 0.000 0.000 0.000
4 Br 0.500 0.500 0.500

## Properties
uncorrected formation energy	-71.4	kJ per mole of atoms
space-group type	Fm-3m
relative energy among the computed polymorphs	192	meV/atom
V	30.98	Å³ per atom
DFT total energy	-3.9575	eV per atom
magnetic moment	0.00	Bohr magnetons per cell

---

7.
Ba2RhBr | GGA-PBE | relaxed

Lattice parameters (Å, degrees): 5.115 6.587 6.587 37.47 90.00 90.00
Sites, in units of the cell vectors:
1 Ba 0.000 0.000 0.000
2 Ba 0.500 0.267 0.267
3 Rh 0.000 0.779 0.779
4 Br 0.500 0.534 0.534

## Properties
uncorrected formation energy	-76.6	kJ per mole of atoms
space-group type	Amm2
relative energy among the computed polymorphs	137	meV/atom
V	33.75	Å³ per atom
DFT total energy	-4.0116	eV per atom
magnetic moment	0.00	Bohr magnetons per cell

---

8.
Ba2RhBr | GGA-PBE | relaxed

Lattice parameters (Å, degrees): 5.527 5.527 5.527 60.00 60.00 60.00
Sites, in units of the cell vectors:
1 Ba 0.000 0.000 0.000
2 Ba 0.250 0.250 0.250
3 Rh 0.500 0.500 0.500
4 Br 0.750 0.750 0.750

## Properties
uncorrected formation energy	-17.3	kJ per mole of atoms
space-group type	F-43m
relative energy among the computed polymorphs	753	meV/atom
V	29.84	Å³ per atom
DFT total energy	-3.3964	eV per atom
magnetic moment	0.00	Bohr magnetons per cell

---

9.
BaRhBr | GGA-PBE | relaxed

Lattice parameters (Å, degrees): 6.514 6.011 4.102 77.67 64.36 37.97
Sites, in units of the cell vectors:
1 Ba 0.000 0.000 0.000
2 Rh 0.328 0.328 0.672
3 Br 0.717 0.717 0.283

## Properties
uncorrected formation energy	-25.2	kJ per mole of atoms
space-group type	Fmm2
relative energy among the computed polymorphs	709	meV/atom
V	28.90	Å³ per atom
DFT total energy	-3.9104	eV per atom
magnetic moment	0.00	Bohr magnetons per cell

---

10.
BaRhBr | GGA-PBE | relaxed

Lattice parameters (Å, degrees): 6.124 6.124 9.041 106.17 106.17 41.59
Sites, in units of the cell vectors:
1 Ba 0.000 0.000 0.000
2 Ba 0.215 0.215 0.572
3 Rh 0.530 0.530 0.716
4 Rh 0.953 0.953 0.628
5 Br 0.280 0.280 0.961
6 Br 0.636 0.636 0.277

## Properties
uncorrected formation energy	-79.3	kJ per mole of atoms
space-group type	Cm
relative energy among the computed polymorphs	149	meV/atom
V	35.81	Å³ per atom
DFT total energy	-4.4704	eV per atom
magnetic moment	0.00	Bohr magnetons per cell

---

11.
Ba2RhBr | GGA-PBE | relaxed

Lattice parameters (Å, degrees): 4.571 4.571 8.508 105.56 105.56 59.90
Sites, in units of the cell vectors:
1 Ba 0.237 0.237 0.210
2 Ba 0.763 0.763 0.790
3 Rh 0.500 0.500 0.000
4 Br 0.000 0.000 0.500

## Properties
uncorrected formation energy	-88.5	kJ per mole of atoms
space-group type	C2/m
relative energy among the computed polymorphs	14	meV/atom
V	36.55	Å³ per atom
DFT total energy	-4.1348	eV per atom
magnetic moment	0.00	Bohr magnetons per cell

---

12.
BaRhBr | GGA-PBE | relaxed

Lattice parameters (Å, degrees): 6.254 6.254 9.568 124.09 124.09 40.03
Sites, in units of the cell vectors:
1 Ba 0.000 0.000 0.000
2 Ba 0.071 0.071 0.588
3 Rh 0.411 0.411 0.697
4 Rh 0.780 0.780 0.564
5 Br 0.516 0.516 0.280
6 Br 0.691 0.691 0.950

## Properties
uncorrected formation energy	-79.0	kJ per mole of atoms
space-group type	Cm
relative energy among the computed polymorphs	152	meV/atom
V	32.20	Å³ per atom
DFT total energy	-4.4677	eV per atom
magnetic moment	0.00	Bohr magnetons per cell

---

- Among the records above, which one has the highest magnetic moment?
  Ba4RhBr2

---

- What is the uncorrected formation energy in the third record?
  -15.6 kJ per mole of atoms